*1*
ThAsP: relaxed, PBE-GGA.

Output
- DOS at the Fermi energy (states/eV per atom) = 0.44

Unit cell a=3.9815 b=3.9815 c=5.3333 alpha=111.92 beta=111.92 gamma=90.00
Last column: nearest neighbours and their distance in Å.
Fractional positions:
1 P 0.2864 0.2864 0.5727  1 As 2.34
2 As 0.0283 0.0283 0.0567  1 P 2.34
3 Th 0.6853 0.6853 0.3706  4 P 2.96, 5 As 3.11-3.15

=====

*2*
ThAsP: relaxed, PBE-GGA.

Output
- DOS at the Fermi energy (states/eV per atom) = 0.19

Unit cell a=4.0516 b=4.0248 c=17.1518 alpha=90.00 beta=90.00 gamma=90.00
Last column: nearest neighbours and their distance in Å.
Fractional positions:
1 Th 0.2302 0.7500 0.8509  5 P 2.90-2.92, 1 As 3.17
2 Th 0.2698 0.7500 0.3509  5 P 2.90-2.92, 1 As 3.17
3 Th 0.7698 0.2500 0.1491  5 P 2.90-2.92, 1 As 3.17
4 Th 0.7302 0.2500 0.6491  5 P 2.90-2.92, 1 As 3.17
5 As 0.2055 0.2500 0.5023  2 As 2.61
6 As 0.2945 0.2500 0.0023  2 As 2.61
7 As 0.7945 0.7500 0.4977  2 As 2.61
8 As 0.7055 0.7500 0.9977  2 As 2.61
9 P 0.2328 0.7500 0.6814  5 Th 2.90-2.92
10 P 0.2672 0.7500 0.1814  5 Th 2.90-2.92
11 P 0.7672 0.2500 0.3186  5 Th 2.90-2.92
12 P 0.7328 0.2500 0.8186  5 Th 2.90-2.92

=====

Best to worst by energy: *2*, *1*.

=====

*1*
Ti3AsP: relaxed, PBE-GGA.

Output
- DOS at the Fermi energy (states/eV per atom) = 0.91

Unit cell a=4.5591 b=7.1756 c=5.0872 alpha=90.00 beta=90.00 gamma=90.00
Last column: nearest neighbours and their distance in Å.
Fractional positions:
1 Ti 0.5000 0.5001 0.5609  4 Ti 2.54-2.84, 2 P 2.58, 4 As 2.80
2 Ti 0.5000 0.1464 0.8109  3 P 2.39-2.56
3 Ti 0.0000 0.2562 0.3109  2 P 2.33
4 Ti 0.5000 0.4999 0.0609  4 Ti 2.54-2.84, 2 P 2.58, 4 As 2.80
5 Ti 0.0000 0.7438 0.8109  2 P 2.33
6 Ti 0.5000 0.8536 0.3109  3 P 2.39-2.56
7 As 0.0000 0.6410 0.3109  9 Ti 2.65-2.80
8 As 0.0000 0.3590 0.8109  9 Ti 2.65-2.80
9 P 0.5000 0.1867 0.3109  7 Ti 2.33-2.58
10 P 0.5000 0.8133 0.8109  7 Ti 2.33-2.58

=====

*2*
Ti3AsP: relaxed, PBE-GGA.

Output
- DOS at the Fermi energy (states/eV per atom) = 1.64

Unit cell a=4.5302 b=4.5302 c=4.5302 alpha=90.00 beta=90.00 gamma=90.00
Last column: nearest neighbours and their distance in Å.
Fractional positions:
1 P 0.0000 0.0000 0.0000  6 Ti 2.27
2 As 0.5000 0.5000 0.5000  12 Ti 3.20
3 Ti 0.0000 0.5000 0.0000  2 P 2.27
4 Ti 0.0000 0.0000 0.5000  2 P 2.27
5 Ti 0.5000 0.0000 0.0000  2 P 2.27

=====

Best to worst by energy: *1*, *2*.

=====

*1*
Ti2AsP2: relaxed, PBE-GGA.

Output
- DOS at the Fermi energy (states/eV per atom) = 0.50

Unit cell a=3.4222 b=3.4222 c=6.9790 alpha=75.81 beta=75.81 gamma=90.00
Last column: nearest neighbours and their distance in Å.
Fractional positions:
1 P 0.7500 0.2500 0.5000  4 P 2.42, 4 Ti 2.53
2 P 0.2500 0.7500 0.5000  4 P 2.42, 4 Ti 2.53
3 As 0.0000 0.0000 0.0000  8 Ti 2.80
4 Ti 0.3921 0.3921 0.2158  4 P 2.53, 4 As 2.80, 1 Ti 2.83
5 Ti 0.6079 0.6079 0.7842  4 P 2.53, 4 As 2.80, 1 Ti 2.83

=====

*2*
Ti2AsP2: relaxed, PBE-GGA.

Output
- DOS at the Fermi energy (states/eV per atom) = 0.34

Unit cell a=6.8910 b=6.8910 c=3.2702 alpha=90.00 beta=90.00 gamma=90.00
Last column: nearest neighbours and their distance in Å.
Fractional positions:
1 P 0.1320 0.6320 0.5000  1 P 2.57, 6 Ti 2.59-2.62
2 P 0.6320 0.8680 0.5000  1 P 2.57, 6 Ti 2.59-2.62
3 P 0.8680 0.3680 0.5000  1 P 2.57, 6 Ti 2.59-2.62
4 P 0.3680 0.1320 0.5000  1 P 2.57, 6 Ti 2.59-2.62
5 As 0.0000 0.0000 0.0000  4 Ti 2.60
6 As 0.5000 0.5000 0.0000  4 Ti 2.60
7 Ti 0.3425 0.8425 0.0000  6 P 2.59-2.62, 2 As 2.60
8 Ti 0.8425 0.6575 0.0000  6 P 2.59-2.62, 2 As 2.60
9 Ti 0.6575 0.1575 0.0000  6 P 2.59-2.62, 2 As 2.60
10 Ti 0.1575 0.3425 0.0000  6 P 2.59-2.62, 2 As 2.60

=====

Best to worst by energy: *1*, *2*.

=====

*1*
TlAs2P: relaxed, PBE-GGA.

Output
- DOS at the Fermi energy (states/eV per atom) = 0.62

Unit cell a=6.2316 b=6.2316 c=6.2316 alpha=143.12 beta=143.12 gamma=53.14
Last column: nearest neighbours and their distance in Å.
Fractional positions:
1 As 0.0000 0.0000 0.0000  4 As 2.79
2 As 0.5000 0.5000 0.0000  4 As 2.79
3 P 0.2500 0.7500 0.5000  4 Tl 2.79
4 Tl 0.7500 0.2500 0.5000  4 P 2.79

=====

*2*
TlAs2P: relaxed, PBE-GGA.

Output
- DOS at the Fermi energy (states/eV per atom) = 0.29

Unit cell a=5.4699 b=5.4699 c=5.9799 alpha=69.71 beta=69.71 gamma=35.90
Last column: nearest neighbours and their distance in Å.
Fractional positions:
1 As 0.0338 0.0338 0.8651  2 P 2.45
2 As 0.7640 0.7640 0.7393  2 P 2.58, 2 As 2.80
3 P 0.4648 0.4648 0.6340  4 As 2.45-2.58
4 Tl 0.2373 0.2373 0.2615  3 P 3.35-3.63, 2 Tl 3.37, 8 As 3.41-3.71

=====

Best to worst by energy: *2*, *1*.

=====

*1*
TlAs2P: relaxed, PBE-GGA.

Output
- DOS at the Fermi energy (states/eV per atom) = 0.52

Unit cell a=5.8243 b=5.8243 c=7.7925 alpha=68.06 beta=68.06 gamma=90.00
Last column: nearest neighbours and their distance in Å.
Fractional positions:
1 P 0.5000 0.5000 0.0000  4 As 2.46
2 P 0.2500 0.7500 0.5000  4 As 2.46
3 Tl 0.0000 0.0000 0.0000  4 As 2.86
4 Tl 0.7500 0.2500 0.5000  4 As 2.86
5 As 0.5625 0.1250 0.2500  2 P 2.46
6 As 0.1875 0.6250 0.2500  2 P 2.46
7 As 0.3750 0.4375 0.7500  2 P 2.46
8 As 0.8750 0.8125 0.7500  2 P 2.46

=====

*2*
TlAs2P: relaxed, PBE-GGA.

Output
- DOS at the Fermi energy (states/eV per atom) = 0.49

Unit cell a=3.4991 b=4.0811 c=6.9041 alpha=90.00 beta=90.00 gamma=90.00
Last column: nearest neighbours and their distance in Å.
Fractional positions:
1 As 0.0000 0.0000 0.1228  1 P 2.28
2 As 0.5000 0.5000 0.2353  4 As 2.80, 4 P 3.08
3 P 0.0000 0.0000 0.4526  1 As 2.28
4 Tl 0.5000 0.5000 0.6893  1 As 3.13, 4 P 3.15, 2 Tl 3.50

=====

Best to worst by energy: *2*, *1*.

=====

*1*
TlAs2P: relaxed, PBE-GGA.

Output
- DOS at the Fermi energy (states/eV per atom) = 0.65

Unit cell a=4.8859 b=4.8859 c=4.8859 alpha=60.00 beta=60.00 gamma=60.00
Last column: nearest neighbours and their distance in Å.
Fractional positions:
1 P 0.0000 0.0000 0.0000  8 As 2.99
2 Tl 0.5000 0.5000 0.5000  8 As 2.99
3 As 0.2500 0.2500 0.2500  4 Tl 2.99, 4 P 2.99
4 As 0.7500 0.7500 0.7500  4 Tl 2.99, 4 P 2.99

=====

*2*
TlAs2P: relaxed, PBE-GGA.

Output
- DOS at the Fermi energy (states/eV per atom) = 0.34

Unit cell a=4.6142 b=3.9809 c=5.3552 alpha=79.34 beta=90.00 gamma=90.00
Last column: nearest neighbours and their distance in Å.
Fractional positions:
1 As 0.0000 0.0346 0.0975  2 As 2.54-2.58, 2 P 2.64
2 As 0.0000 0.4654 0.4025  2 As 2.54-2.58, 2 P 2.64
3 P 0.5000 0.2500 0.2500  4 As 2.64
4 Tl 0.5000 0.7500 0.7500  2 P 3.03, 4 As 3.29

=====

Best to worst by energy: *2*, *1*.

=====

*1*
TlAs2P: relaxed, PBE-GGA.

Output
- DOS at the Fermi energy (states/eV per atom) = 0.46

Unit cell a=5.9646 b=5.9646 c=2.8461 alpha=90.00 beta=90.00 gamma=122.41
Last column: nearest neighbours and their distance in Å.
Fractional positions:
1 As 0.0000 0.0000 0.0000  4 As 2.85-2.87
2 As 0.5000 0.5000 0.0000  4 As 2.85-2.87
3 P 0.5000 0.0000 0.5000  2 P 2.85, 2 Tl 2.87
4 Tl 0.0000 0.5000 0.5000  2 Tl 2.85, 2 P 2.87

=====

*2*
TlAs2P: relaxed, PBE-GGA.

Output
- DOS at the Fermi energy (states/eV per atom) = 0.54

Unit cell a=9.0886 b=9.0886 c=9.0886 alpha=22.32 beta=22.32 gamma=22.32
Last column: nearest neighbours and their distance in Å.
Fractional positions:
1 As 0.9857 0.9857 0.9857  3 As 2.86, 3 Tl 3.18
2 As 0.2432 0.2432 0.2432  3 P 2.43
3 P 0.5267 0.5267 0.5267  3 As 2.43
4 Tl 0.7445 0.7445 0.7445  3 As 3.18, 6 Tl 3.52

=====

Best to worst by energy: *2*, *1*.

=====

*1*
TlAs2P: relaxed, PBE-GGA.

Output
- DOS at the Fermi energy (states/eV per atom) = 0.28

Unit cell a=3.1096 b=3.1096 c=9.4503 alpha=90.00 beta=90.00 gamma=106.74
Last column: nearest neighbours and their distance in Å.
Fractional positions:
1 As 0.0000 0.0000 0.0224  6 As 3.04-3.11, 2 Tl 3.17
2 As 0.5000 0.5000 0.2776  2 P 2.47
3 P 0.0000 0.0000 0.4497  2 As 2.47
4 Tl 0.5000 0.5000 0.7504  4 Tl 3.11, 2 As 3.17, 2 P 3.39

=====

*2*
TlAs2P: relaxed, PBE-GGA.

Output
- DOS at the Fermi energy (states/eV per atom) = 0.64

Unit cell a=4.8895 b=4.8895 c=4.8895 alpha=120.07 beta=120.07 gamma=89.87
Last column: nearest neighbours and their distance in Å.
Fractional positions:
1 As 0.0000 0.0000 0.0000  4 Tl 2.99, 4 As 2.99
2 As 0.2500 0.7500 0.5000  4 P 2.99, 4 As 2.99
3 P 0.5000 0.5000 0.0000  4 Tl 2.99, 4 As 2.99
4 Tl 0.7500 0.2500 0.5000  4 As 2.99, 4 P 2.99

=====

*3*
TlAs2P: relaxed, PBE-GGA.

Output
- DOS at the Fermi energy (states/eV per atom) = 0.66

Unit cell a=3.9231 b=3.9257 c=5.6405 alpha=90.00 beta=90.00 gamma=90.00
Last column: nearest neighbours and their distance in Å.
Fractional positions:
1 As 0.0000 0.0000 0.0000  4 As 2.77
2 As 0.5000 0.5000 0.0000  4 As 2.77
3 P 0.5000 0.0000 0.5000  4 Tl 2.77
4 Tl 0.0000 0.5000 0.5000  4 P 2.77

=====

*4*
TlAs2P: relaxed, PBE-GGA.

Output
- DOS at the Fermi energy (states/eV per atom) = 0.32

Unit cell a=8.9807 b=8.9807 c=8.9807 alpha=22.16 beta=22.16 gamma=22.16
Last column: nearest neighbours and their distance in Å.
Fractional positions:
1 As 0.9751 0.9751 0.9751  3 P 2.52
2 As 0.5249 0.5249 0.5249  3 P 2.52
3 P 0.2500 0.2500 0.2500  6 As 2.52
4 Tl 0.7500 0.7500 0.7500  6 Tl 3.45, 6 As 3.47

=====

Best to worst by energy: *4*, *1*, *3*, *2*.

=====

*1*
TlAs2P: relaxed, PBE-GGA.

Output
- DOS at the Fermi energy (states/eV per atom) = 0.38

Unit cell a=5.8168 b=5.8126 c=2.9169 alpha=79.63 beta=81.85 gamma=117.70
Last column: nearest neighbours and their distance in Å.
Fractional positions:
1 As 0.0000 0.0000 0.0000  4 As 2.92-3.06, 2 Tl 3.01, 2 P 3.01
2 As 0.5000 0.0000 0.5000  4 As 2.92-3.06, 2 P 3.01, 2 Tl 3.01
3 P 0.0000 0.5000 0.5000  2 P 2.92, 4 As 3.01, 2 Tl 3.06
4 Tl 0.5000 0.5000 0.0000  2 Tl 2.92, 4 As 3.01, 2 P 3.06

=====

*2*
TlAs2P: relaxed, PBE-GGA.

Output
- DOS at the Fermi energy (states/eV per atom) = 0.57

Unit cell a=3.1927 b=3.1927 c=9.4258 alpha=90.00 beta=90.00 gamma=115.50
Last column: nearest neighbours and their distance in Å.
Fractional positions:
1 As 0.0000 0.0000 0.0537  2 P 2.52
2 As 0.0000 0.0000 0.4463  2 P 2.52
3 P 0.5000 0.5000 0.2500  4 As 2.52
4 Tl 0.5000 0.5000 0.7500  6 Tl 3.19-3.41, 4 As 3.33

=====

Best to worst by energy: *2*, *1*.

=====

*1*
TlAs2P: relaxed, PBE-GGA.

Output
- DOS at the Fermi energy (states/eV per atom) = 0.56

Unit cell a=5.8759 b=5.8759 c=5.8759 alpha=147.50 beta=121.14 gamma=68.86
Last column: nearest neighbours and their distance in Å.
Fractional positions:
1 As 0.9370 0.9370 0.0000  2 P 2.45
2 As 0.5630 0.5630 0.0000  2 P 2.45
3 P 0.7500 0.2500 0.5000  4 As 2.45
4 Tl 0.2500 0.7500 0.5000  2 Tl 3.29, 4 P 3.32, 8 As 3.41-3.45

=====

*2*
TlAs2P: relaxed, PBE-GGA.

Output
- DOS at the Fermi energy (states/eV per atom) = 0.29

Unit cell a=5.3262 b=5.3262 c=6.0066 alpha=69.55 beta=69.55 gamma=37.65
Last column: nearest neighbours and their distance in Å.
Fractional positions:
1 As 0.0520 0.0520 0.8661  2 P 2.53, 2 As 2.66
2 As 0.4480 0.4480 0.6339  2 P 2.53, 2 As 2.66
3 P 0.7500 0.7500 0.7500  4 As 2.53
4 Tl 0.2500 0.2500 0.2500  2 Tl 3.44, 4 P 3.46, 8 As 3.50-3.56

=====

*3*
TlAs2P: relaxed, PBE-GGA.

Output
- DOS at the Fermi energy (states/eV per atom) = 0.75

Unit cell a=5.8423 b=5.8423 c=5.8423 alpha=146.73 beta=120.63 gamma=69.79
Last column: nearest neighbours and their distance in Å.
Fractional positions:
1 As 0.9520 0.9520 0.0000  2 As 2.69
2 As 0.7321 0.2321 0.5000  2 P 2.37
3 P 0.5565 0.5565 0.0000  2 As 2.37
4 Tl 0.2594 0.7594 0.5000  4 P 3.30-3.49, 2 Tl 3.35, 8 As 3.35-3.43

=====

Best to worst by energy: *2*, *1*, *3*.

=====

*1*
TlAs2P: relaxed, PBE-GGA.

Output
- DOS at the Fermi energy (states/eV per atom) = 0.33

Unit cell a=5.0301 b=2.8915 c=6.3743 alpha=90.01 beta=90.00 gamma=90.00
Last column: nearest neighbours and their distance in Å.
Fractional positions:
1 As 0.0000 0.2498 0.0406  1 P 2.35
2 As 0.5000 0.2509 0.2786  2 P 2.65, 4 As 2.89-2.94
3 P 0.0000 0.2500 0.4096  1 As 2.35
4 Tl 0.5000 0.7494 0.7713  2 Tl 2.89

=====

*2*
TlAs2P: relaxed, PBE-GGA.

Output
- DOS at the Fermi energy (states/eV per atom) = 0.41

Unit cell a=3.5933 b=3.5943 c=6.9742 alpha=90.00 beta=90.00 gamma=90.00
Last column: nearest neighbours and their distance in Å.
Fractional positions:
1 As 0.0000 0.0000 0.0746  1 As 2.45
2 As 0.0000 0.0000 0.4254  1 As 2.45
3 P 0.5000 0.5000 0.2500  8 As 2.82
4 Tl 0.5000 0.5000 0.7500  8 As 3.40, 2 P 3.49, 4 Tl 3.59

=====

Best to worst by energy: *1*, *2*.

=====

*1*
TlAsP2: relaxed, PBE-GGA.

Output
- DOS at the Fermi energy (states/eV per atom) = 0.54

Unit cell a=3.0998 b=3.0998 c=8.9807 alpha=90.00 beta=90.00 gamma=106.78
Last column: nearest neighbours and their distance in Å.
Fractional positions:
1 As 0.5000 0.5000 0.7500  4 P 2.59
2 P 0.0000 0.0000 0.9517  2 As 2.59
3 P 0.0000 0.0000 0.5483  2 As 2.59
4 Tl 0.5000 0.5000 0.2500  4 Tl 3.10, 4 P 3.25

=====

*2*
TlAsP2: relaxed, PBE-GGA.

Output
- DOS at the Fermi energy (states/eV per atom) = 0.53

Unit cell a=3.8463 b=6.7336 c=5.4953 alpha=35.07 beta=90.00 gamma=90.00
Last column: nearest neighbours and their distance in Å.
Fractional positions:
1 As 0.0000 0.0000 0.5000  6 P 2.73-2.75
2 P 0.0000 0.0000 0.0000  4 Tl 2.73, 2 As 2.75
3 P 0.5000 0.5000 0.0000  4 As 2.73, 2 Tl 2.75
4 Tl 0.5000 0.5000 0.5000  6 P 2.73-2.75

=====

*3*
TlAsP2: relaxed, PBE-GGA.

Output
- DOS at the Fermi energy (states/eV per atom) = 0.20

Unit cell a=5.3545 b=5.3545 c=6.0040 alpha=69.77 beta=69.77 gamma=35.52
Last column: nearest neighbours and their distance in Å.
Fractional positions:
1 As 0.2500 0.2500 0.2500  4 P 2.65
2 P 0.9682 0.9682 0.1457  2 P 2.29
3 P 0.5318 0.5318 0.3543  2 P 2.29
4 Tl 0.7500 0.7500 0.7500  2 Tl 3.27, 6 P 3.41-3.50, 4 As 3.42

=====

Best to worst by energy: *3*, *2*, *1*.